(1)
Here is a geometry-optimized Ba2TbCd structure from Alexandria via LeMat-Bulk. Energies are from PBE.

Properties
calculated total energy	-2.079	eV per atom
DFT formation energy	1.07	eV per formula unit

```
data_Ba2TbCd
_symmetry_space_group_name_H-M 'P 1'
_symmetry_Int_Tables_number 1
_cell_length_a 3.8480
_cell_length_b 3.8480
_cell_length_c 13.0864
_cell_angle_alpha 81.55
_cell_angle_beta 81.55
_cell_angle_gamma 60.00
loop_
_symmetry_equiv_pos_as_xyz
'x,y,z'
loop_
_atom_site_label
_atom_site_fract_x
_atom_site_fract_y
_atom_site_fract_z
Tb1 0.0000 0.0000 0.0000
Ba1 0.0936 0.0936 0.7192
Ba2 0.9064 0.9064 0.2808
Cd1 0.5000 0.5000 0.5000
```

(2)
Here is a geometry-optimized BaTbCd2 structure from Alexandria via LeMat-Bulk. Energies are from PBE.

Properties
calculated total energy	-2.305	eV per atom
DFT formation energy	-0.84	eV per formula unit

```
data_BaTbCd2
_symmetry_space_group_name_H-M 'P 1'
_symmetry_Int_Tables_number 1
_cell_length_a 3.8980
_cell_length_b 5.6900
_cell_length_c 5.6900
_cell_angle_alpha 90.00
_cell_angle_beta 90.00
_cell_angle_gamma 90.00
loop_
_symmetry_equiv_pos_as_xyz
'x,y,z'
loop_
_atom_site_label
_atom_site_fract_x
_atom_site_fract_y
_atom_site_fract_z
Tb1 0.5000 0.5000 0.5000
Cd1 0.0000 0.0000 0.5000
Cd2 0.0000 0.5000 0.0000
Ba1 0.5000 0.0000 0.0000
```

(3)
Here is a geometry-optimized BaTbCd2 structure from Alexandria via LeMat-Bulk. Energies are from PBE.

Properties
calculated total energy	-2.387	eV per atom
DFT formation energy	-1.17	eV per formula unit

```
data_BaTbCd2
_symmetry_space_group_name_H-M 'P 1'
_symmetry_Int_Tables_number 1
_cell_length_a 3.9368
_cell_length_b 3.9368
_cell_length_c 8.1879
_cell_angle_alpha 90.00
_cell_angle_beta 90.00
_cell_angle_gamma 90.00
loop_
_symmetry_equiv_pos_as_xyz
'x,y,z'
loop_
_atom_site_label
_atom_site_fract_x
_atom_site_fract_y
_atom_site_fract_z
Cd1 0.0000 0.0000 0.7970
Cd2 0.0000 0.0000 0.2030
Tb1 0.5000 0.5000 0.0000
Ba1 0.5000 0.5000 0.5000
```

(4)
Here is a geometry-optimized Ba5TbCd6 structure from Alexandria via LeMat-Bulk. Energies are from PBE.

Properties
calculated total energy	-1.931	eV per atom
DFT formation energy	-3.44	eV per formula unit

```
data_Ba5TbCd6
_symmetry_space_group_name_H-M 'P 1'
_symmetry_Int_Tables_number 1
_cell_length_a 5.8856
_cell_length_b 8.2842
_cell_length_c 10.2128
_cell_angle_alpha 66.07
_cell_angle_beta 73.16
_cell_angle_gamma 90.00
loop_
_symmetry_equiv_pos_as_xyz
'x,y,z'
loop_
_atom_site_label
_atom_site_fract_x
_atom_site_fract_y
_atom_site_fract_z
Ba1 0.6619 0.6619 0.6763
Cd1 0.5001 0.2037 0.0000
Ba2 0.6770 0.1773 0.6454
Ba3 0.3381 0.3381 0.3237
Cd2 0.4999 0.7963 0.0000
Cd3 0.8470 0.0708 0.3068
Cd4 0.1529 0.3777 0.6932
Tb1 0.0000 0.0000 0.0000
Cd5 0.1530 0.9292 0.6932
Cd6 0.8471 0.6223 0.3068
Ba4 0.0000 0.5000 0.0000
Ba5 0.3230 0.8227 0.3546
```

Question: DFT formation energy of number 2 (BaTbCd2)?
Answer: -0.84 eV per formula unit

Copy entry 3 word for word.
Here is a geometry-optimized BaTbCd2 structure from Alexandria via LeMat-Bulk. Energies are from PBE.

Properties
calculated total energy	-2.387	eV per atom
DFT formation energy	-1.17	eV per formula unit

```
data_BaTbCd2
_symmetry_space_group_name_H-M 'P 1'
_symmetry_Int_Tables_number 1
_cell_length_a 3.9368
_cell_length_b 3.9368
_cell_length_c 8.1879
_cell_angle_alpha 90.00
_cell_angle_beta 90.00
_cell_angle_gamma 90.00
loop_
_symmetry_equiv_pos_as_xyz
'x,y,z'
loop_
_atom_site_label
_atom_site_fract_x
_atom_site_fract_y
_atom_site_fract_z
Cd1 0.0000 0.0000 0.7970
Cd2 0.0000 0.0000 0.2030
Tb1 0.5000 0.5000 0.0000
Ba1 0.5000 0.5000 0.5000
```

Question: Look up the DFT formation energy of the second one.
Answer: -0.84 eV per formula unit